# 1
Compound: Os2RuPb
Source: Alexandria via LeMat-Bulk
Functional: PBE
Structure: relaxed

D(E_F): 4.48 states/eV/f.u.
crystal system: tetragonal
electronic total energy: -0.5751 Ry/atom

Unit cell a=4.662 b=4.662 c=3.031 alpha=90.00 beta=90.00 gamma=90.00
Atoms (fractional coordinates):
1 Pb 0.500 0.000 0.500
2 Os 0.500 0.500 0.000
3 Os 0.000 0.000 0.000
4 Ru 0.000 0.500 0.500



# 2
Compound: KLiPmF5
Source: Alexandria via LeMat-Bulk
Functional: PBE
Structure: relaxed

D(E_F): 0.00 states/eV/f.u.
crystal system: monoclinic
formation energy without anion corrections: -3456 meV per atom

Unit cell a=6.260 b=6.260 c=8.482 alpha=102.94 beta=102.94 gamma=107.60
Atoms (fractional coordinates):
1 F 0.093 0.696 0.875
2 Pm 0.000 0.000 0.000
3 F 0.749 0.619 0.406
4 F 0.619 0.749 0.906
5 Pm 0.000 0.000 0.500
6 F 0.381 0.251 0.094
7 Li 0.315 0.685 0.750
8 F 0.916 0.084 0.750
9 F 0.907 0.304 0.125
10 Li 0.685 0.315 0.250
11 F 0.251 0.381 0.594
12 K 0.345 0.655 0.250
13 F 0.304 0.907 0.625
14 F 0.084 0.916 0.250
15 K 0.655 0.345 0.750
16 F 0.696 0.093 0.375